! PBE-GGA CsSrGaSb2, optimized geometry; values from VASP
&SYSTEM
  ibrav = 0, nat = 5, ntyp = 4
/
ATOMIC_SPECIES
Cs 132.91 Cs.upf
Sr 87.62 Sr.upf
Ga 69.72 Ga.upf
Sb 121.76 Sb.upf
CELL_PARAMETERS angstrom
6.3239 0.0000 0.0000
0.0000 6.3239 0.0000
0.0000 0.0000 6.2095
ATOMIC_POSITIONS crystal
Cs 0.0000 0.0000 0.0000
Sr 0.0000 0.0000 0.5000
Ga 0.5000 0.5000 0.5000
Sb 0.0000 0.5000 0.0000
Sb 0.5000 0.0000 0.0000
! Symmetry: P4/mmm
! Energy relative to the elements, uncorrected (eV per atom): 0.9810
! V (A^3/atom): 49.7
! M_tot (μB/f.u.): 0.00
! Crystal system: tetragonal
! Offset from the most stable computed form (meV/atom): 1409